Cs2Pt2Cl | PBE | optimized geometry

abc: 3.7871 3.7871 21.0616
angles: 90.00 90.00 90.00
Space group I4/mmm (No. 139)
Inequivalent atoms, fractional coordinates:
Cs1 0.0000 0.0000 0.1040 x4
Pt1 0.0000 0.5000 0.2500 x4
Cl1 0.0000 0.0000 0.5000 x2

Summary:
**DFT total energy**: -37.808 eV/cell
**Relative energy among the computed polymorphs**: 0.000 eV/atom
**ΔE_f (raw)**: -654 meV per atom

TiPt2S | PBE | optimized geometry

abc: 5.7203 5.7203 10.3804
angles: 90.00 90.00 90.00
Space group I-42d (No. 122)
Inequivalent atoms, fractional coordinates:
Ti1 0.0000 0.0000 0.0000 x4
Pt1 0.2283 0.2500 0.6250 x8
S1 0.0000 0.0000 0.5000 x4

Summary:
**DFT total energy**: -98.943 eV/cell
**ΔE_f (raw)**: -158 meV per atom

HgGeAu2O6 | PBE | optimized geometry

abc: 9.0892 10.6017 6.6252
angles: 90.00 114.21 90.00
Space group C2/c (No. 15)
Inequivalent atoms, fractional coordinates:
Hg1 0.0000 0.0774 0.2500 x4
Ge1 0.0000 0.2449 0.7500 x4
Au1 0.1523 0.3660 0.2801 x8
O1 0.0948 0.1270 0.6437 x8
O2 0.1229 0.3461 0.9661 x8
O3 0.2210 0.3835 0.5983 x8

Summary:
**DFT total energy**: -176.963 eV/cell
**ΔE_f (raw)**: -302 meV per atom

LiScHg4 | PBE | optimized geometry

abc: 9.2852 5.2739 5.2839
angles: 90.00 90.24 90.00
Space group C2/m (No. 12)
Inequivalent atoms, fractional coordinates:
Li1 0.0000 0.0000 0.0000 x2
Sc1 0.0000 0.5000 0.5000 x2
Hg1 0.1634 0.0000 0.4993 x4
Hg2 0.1635 0.5000 0.9998 x4

Summary:
**DFT total energy**: -22.091 eV/cell
**Relative energy among the computed polymorphs**: 0.000 eV/atom
**Energy relative to the elements**: -0.265 eV per atom

TbMg3Au | PBE | optimized geometry

abc: 9.3618 3.9882 12.6094
angles: 90.00 90.00 90.00
Space group Pnma (No. 62)
Inequivalent atoms, fractional coordinates:
Tb1 0.1722 0.2500 0.0069 x4
Mg1 0.0563 0.2500 0.4147 x4
Mg2 0.0883 0.7500 0.2211 x4
Mg3 0.1594 0.7500 0.7874 x4
Au1 0.1446 0.2500 0.6268 x4

Summary:
**DFT total energy**: -58.117 eV/cell
**Energy relative to the elements**: -0.368 eV per atom